{
  "formula": "Sc3RuPt",
  "functional": "GGA-PBEsol",
  "state": "relaxed",
  "lattice_angstrom": [[-2.293, -0.725, 4.250], [-1.458, -4.399, -1.538], [4.057, -1.991, 1.849]],
  "species": ["Pt", "Sc", "Sc", "Sc", "Ru"],
  "fractional_positions": [[0.000, 0.000, 0.000], [0.000, 0.500, 0.000], [0.500, 0.000, 0.000], [0.000, 0.000, 0.500], [0.500, 0.500, 0.500]],
  "total_energy_ev_per_cell": -35.64,
  "spacegroup": "Pm-3m, No. 221"
}